## ZnSe2BrO (PBE-GGA)

Data for an optimized crystal structure of ZnSe2BrO.

Output
excess energy over the best structure of this formula in the dataset = 0 meV/atom

a b c (Å): 4.4694 4.4694 4.8336
angles (deg): 90.00 90.00 90.00
Last column: nearest neighbours and their distance in Å.
Space group P4/mmm (No. 123)
Inequivalent atoms, fractional coordinates:
Zn: 0.0000 0.0000 0.0000  4 Br 3.16, 8 Se 3.29
Se: 0.0000 0.5000 0.5000  2 O 2.23
Br: 0.5000 0.5000 0.0000  2 O 2.42
O: 0.5000 0.5000 0.5000  4 Se 2.23, 2 Br 2.42

=====

## Zn2SeBrO (PBE-GGA)

Data for an optimized crystal structure of Zn2SeBrO.

Output
excess energy over the best structure of this formula in the dataset = 31 meV/atom

a b c (Å): 4.5178 4.5178 4.5189
angles (deg): 90.00 90.00 90.00
Last column: nearest neighbours and their distance in Å.
Space group P4/mmm (No. 123)
Inequivalent atoms, fractional coordinates:
Zn: 0.0000 0.5000 0.0000  2 O 2.26
Se: 0.0000 0.0000 0.5000  4 Br 3.19, 8 Zn 3.19
Br: 0.5000 0.5000 0.5000  2 O 2.26
O: 0.5000 0.5000 0.0000  4 Zn 2.26, 2 Br 2.26

=====

Asked for energy relative to the elements, uncorrected across the records above, the calculation gives 487; 154 meV/atom in order.